A geometry-optimized MnOF structure. Source: Alexandria, functional GGA+U.

```
MnOF
1.0
4.713 0.000 0.000
0.000 3.056 0.000
-1.476 0.000 14.164
Mn O F
6 6 6
Direct
0.000 0.000 0.000 Mn
0.009 0.000 0.320 Mn
0.065 0.000 0.659 Mn
0.471 0.500 0.489 Mn
0.497 0.500 0.162 Mn
0.530 0.500 0.827 Mn
0.215 0.500 0.602 O
0.281 0.000 0.107 O
0.309 0.000 0.418 O
0.333 0.000 0.763 O
0.695 0.000 0.226 O
0.709 0.000 0.896 O
0.199 0.500 0.259 F
0.199 0.500 0.940 F
0.734 0.000 0.557 F
0.770 0.500 0.065 F
0.835 0.500 0.382 F
0.841 0.500 0.721 F
```

Output
For the raw total energy, the calculation gives -117.11 eV for the cell shown. As for the space group: Pm. For the total magnetization, the calculation gives 0.39 μB per atom.